This record from Alexandria via LeMat-Bulk describes an optimized crystal structure of NdZnGa2Au5. The functional is PBE-GGA.

Lattice parameters (Å, degrees): 4.968 4.968 7.594 90.00 90.00 90.00
Fractional positions:
Au1 0.500 0.000 0.754
Au2 0.500 0.000 0.246
Au3 0.500 0.500 0.500
Au4 0.000 0.500 0.246
Au5 0.000 0.500 0.754
Zn1 0.000 0.000 0.000
Ga1 0.500 0.500 0.841
Ga2 0.500 0.500 0.159
Nd1 0.000 0.000 0.500

Results
energy of formation from the pure elements = -0.2625 eV/atom
E = -3.427 eV/atom
DOS at the Fermi energy = 3.57 states/eV/cell
volume = 187.4 Å³/f.u.